# 1
Sr2C3: optimized geometry, PBE.

It has space group Fdd2 (No. 43), with a = 12.431 Å, b = 15.063 Å, c = 4.165 Å, α = 90.00°, β = 90.00° and γ = 90.00°. The inequivalent atoms are Sr at (0.047, 0.160, 0.000), C at (0.000, 0.000, 0.257) and C at (0.108, 0.495, 0.740).

As for the mass density: 3.599 Mg/m³. The calculated total energy comes out at -6.12 eV per atom. Its formation energy is 85 meV/atom. As for the energy relative to the lowest polymorph listed for this composition: 0.00 kJ per mole of atoms.



# 2
SrC: optimized geometry, PBE.

It has space group Imma (No. 74), with a = 2.862 Å, b = 3.671 Å, c = 14.927 Å, α = 90.00°, β = 90.00° and γ = 90.00°. The inequivalent atoms are Sr at (0.000, 0.250, 0.130) and C at (0.000, 0.250, 0.726).

As for the mass density: 4.220 Mg/m³. The calculated total energy comes out at -4.95 eV per atom. Its formation energy is 500 meV/atom. As for the energy relative to the lowest polymorph listed for this composition: 45.03 kJ per mole of atoms.